No. 1
Below is a relaxed NdYAlTl crystal, with properties calculated at the GGA-PBE level.

Results
Crystal system ... tetragonal

CIF file:
```
data_NdYAlTl
_chemical_formula_sum 'Nd1 Y1 Al1 Tl1'
_cell_length_a 3.718
_cell_length_b 3.718
_cell_length_c 7.734
_cell_angle_alpha 90.00
_cell_angle_beta 90.00
_cell_angle_gamma 90.00
_space_group_name_H-M_alt 'P 4 m m'
_space_group_IT_number 99
_space_group_name_Hall 'P 4 -2'
loop_
_atom_site_label
_atom_site_type_symbol
_atom_site_fract_x
_atom_site_fract_y
_atom_site_fract_z
_atom_site_occupancy
Nd1 Nd 0.000 0.000 0.000 1
Y1 Y 0.000 0.000 0.473 1
Al1 Al 0.500 0.500 0.247 1
Tl1 Tl 0.500 0.500 0.724 1
```

---

No. 2
Below is a relaxed NdTm2Al crystal, with properties calculated at the GGA-PBE level.

Results
Crystal system ... orthorhombic

CIF file:
```
data_NdTm2Al
_chemical_formula_sum 'Nd4 Tm8 Al4'
_cell_length_a 5.300
_cell_length_b 6.870
_cell_length_c 11.864
_cell_angle_alpha 90.00
_cell_angle_beta 90.00
_cell_angle_gamma 90.00
_space_group_name_H-M_alt 'A m m 2'
_space_group_IT_number 38
_space_group_name_Hall 'A 2 -2'
loop_
_atom_site_label
_atom_site_type_symbol
_atom_site_fract_x
_atom_site_fract_y
_atom_site_fract_z
_atom_site_occupancy
Nd1 Nd 0.000 0.235 0.000 1
Tm1 Tm 0.000 0.000 0.761 1
Tm2 Tm 0.500 0.000 0.415 1
Tm3 Tm 0.500 0.238 0.177 1
Al1 Al 0.000 0.000 0.256 1
Al2 Al 0.500 0.000 0.915 1
```

---

No. 3
Below is a relaxed Nd3TmAl2 crystal, with properties calculated at the GGA-PBE level.

Results
Crystal system ... orthorhombic

CIF file:
```
data_Nd3TmAl2
_chemical_formula_sum 'Nd6 Tm2 Al4'
_cell_length_a 5.207
_cell_length_b 9.746
_cell_length_c 6.663
_cell_angle_alpha 90.00
_cell_angle_beta 90.00
_cell_angle_gamma 90.00
_space_group_name_H-M_alt 'P m c 21'
_space_group_IT_number 26
_space_group_name_Hall 'P 2c -2'
loop_
_atom_site_label
_atom_site_type_symbol
_atom_site_fract_x
_atom_site_fract_y
_atom_site_fract_z
_atom_site_occupancy
Nd1 Nd 0.000 0.040 0.000 1
Nd2 Nd 0.000 0.332 0.334 1
Nd3 Nd 0.500 0.180 0.718 1
Tm1 Tm 0.500 0.456 0.049 1
Al1 Al 0.000 0.353 0.823 1
Al2 Al 0.500 0.151 0.232 1
```

---

No. 4
Below is a relaxed Nd3Tm12Al crystal, with properties calculated at the GGA-PBE level.

Results
Crystal system ... tetragonal

CIF file:
```
data_Nd3Tm12Al
_chemical_formula_sum 'Nd3 Tm12 Al1'
_cell_length_a 4.913
_cell_length_b 4.913
_cell_length_c 19.846
_cell_angle_alpha 90.00
_cell_angle_beta 90.00
_cell_angle_gamma 90.00
_space_group_name_H-M_alt 'P 4/m m m'
_space_group_IT_number 123
_space_group_name_Hall '-P 4 2'
loop_
_atom_site_label
_atom_site_type_symbol
_atom_site_fract_x
_atom_site_fract_y
_atom_site_fract_z
_atom_site_occupancy
Nd1 Nd 0.000 0.000 0.000 1
Nd2 Nd 0.000 0.000 0.254 1
Tm1 Tm 0.000 0.500 0.128 1
Tm2 Tm 0.000 0.500 0.385 1
Tm3 Tm 0.500 0.500 0.000 1
Tm4 Tm 0.500 0.500 0.259 1
Tm5 Tm 0.500 0.500 0.500 1
Al1 Al 0.000 0.000 0.500 1
```

---

no.,formation enthalpy at 0 K (eV per atom)
1,-0.380
2,-0.181
3,-0.257
4,-0.010